The following is a PBEsol calculation of a geometry-optimized NaSrMn2Sb structure, from Alexandria.

Cell: 5.109 5.109 6.184 Å, 90.00 90.00 90.00°
Last column: magnetic moment on the atom in μB.
Sites, in units of the cell vectors:
Sb1 0.000 0.000 0.000  -0.06
Mn1 0.000 0.500 0.000  3.81
Mn2 0.500 0.000 0.000  3.81
Na1 0.500 0.500 0.500  -0.02
Sr1 0.000 0.000 0.500  -0.03

Values from the calculation:
DOS(E_F) (states/eV/f.u.): 6.5
E_tot (eV for the cell shown): -23.84
Space group: P4/mmm, No. 123
Energy relative to the elements, uncorrected (eV per atom): 0.6954